DFT (GGA-PBE) results for a geometry-optimized Sc2CdPd2 structure.

Symmetry   I4/mmm, No. 139
VASP energy   -5.25 eV/atom
Spin magnetization   0.0 μB per formula unit
Energy of formation from the pure elements   -456 meV per atom

a b c (Å): 3.8682 3.8682 7.5062
angles (deg): 75.07 75.07 90.00
Closest atoms and distances in Å follow each position.
Element x y z (fractional)
Sc1 0.3842 0.3842 0.2317  4 Pd 2.69
Sc2 0.6158 0.6158 0.7683  4 Pd 2.69
Cd1 0.0000 0.0000 0.0000  8 Sc 3.18
Pd1 0.7500 0.2500 0.5000  4 Sc 2.69, 4 Pd 2.74
Pd2 0.2500 0.7500 0.5000  4 Sc 2.69, 4 Pd 2.74